## CePr4Pb2 (PBE-GGA)

Data for crystalline CePr4Pb2 at its relaxed geometry.

Unit cell a=5.5957 b=5.5957 c=28.2539 alpha=90.00 beta=90.00 gamma=120.00
Space group R-3m (No. 166, hexagonal axes)
Symmetry-distinct sites (fractional):
Ce  0.0000  0.0000  0.0000
Pr  0.0000  0.0000  0.2261
Pr  0.0000  0.0000  0.3701
Pb  0.0000  0.0000  0.1110

Raw total energy: -99.82 eV/cell
DOS(E_F): 1.640 states/eV per atom